{"formula": "ZnSn2Pd8", "functional": "PBE-GGA", "state": "relaxed", "polymorph_energy_ev_per_atom": 0.023, "lattice": [[7.1686, -2.0892, 0.0000], [7.1686, 2.0892, 0.0000], [-1.8834, 0.0000, 5.9758]], "species": ["Zn", "Sn", "Sn", "Pd", "Pd", "Pd", "Pd", "Pd", "Pd", "Pd", "Pd"], "frac_coords": [[0.0000, 0.0000, 0.0000], [0.2910, 0.2910, 0.3338], [0.7090, 0.7090, 0.6662], [0.0921, 0.0921, 0.4503], [0.1694, 0.1694, 0.9210], [0.3464, 0.3464, 0.7878], [0.4667, 0.4667, 0.2568], [0.5333, 0.5333, 0.7432], [0.6536, 0.6536, 0.2122], [0.8306, 0.8306, 0.0790], [0.9079, 0.9079, 0.5497]]}

***

{"formula": "Zn2Sn3Pd8", "functional": "PBE-GGA", "state": "relaxed", "lattice": [[2.6971, 1.5572, 9.4041], [-2.6971, 1.5572, 9.4041], [0.0000, -3.1144, 9.4041]], "species": ["Zn", "Zn", "Sn", "Sn", "Sn", "Pd", "Pd", "Pd", "Pd", "Pd", "Pd", "Pd", "Pd"], "frac_coords": [[0.1290, 0.1290, 0.1290], [0.8710, 0.8710, 0.8710], [0.3087, 0.3087, 0.3087], [0.5000, 0.5000, 0.5000], [0.6913, 0.6913, 0.6913], [0.2158, 0.2158, 0.2158], [0.2246, 0.2246, 0.7230], [0.2246, 0.7230, 0.2246], [0.2770, 0.7754, 0.7754], [0.7230, 0.2246, 0.2246], [0.7754, 0.2770, 0.7754], [0.7754, 0.7754, 0.2770], [0.7842, 0.7842, 0.7842]]}

***

{"formula": "ZnSnPd6", "functional": "PBE-GGA", "state": "relaxed", "polymorph_energy_ev_per_atom": 0.000, "lattice": [[7.9356, 0.0000, 0.0000], [0.0000, 7.9473, 0.0000], [0.0000, 0.0000, 3.9951]], "species": ["Zn", "Zn", "Sn", "Sn", "Pd", "Pd", "Pd", "Pd", "Pd", "Pd", "Pd", "Pd", "Pd", "Pd", "Pd", "Pd"], "frac_coords": [[0.0000, 0.0000, 0.0000], [0.5000, 0.5000, 0.0000], [0.0000, 0.5000, 0.0000], [0.5000, 0.0000, 0.0000], [0.0000, 0.2478, 0.5000], [0.0000, 0.7522, 0.5000], [0.2452, 0.0000, 0.5000], [0.2500, 0.2500, 0.0000], [0.2500, 0.7500, 0.0000], [0.2548, 0.5000, 0.5000], [0.5000, 0.2522, 0.5000], [0.5000, 0.7478, 0.5000], [0.7452, 0.5000, 0.5000], [0.7500, 0.2500, 0.0000], [0.7500, 0.7500, 0.0000], [0.7548, 0.0000, 0.5000]]}

***

Number 1: E_form -0.41 eV/atom, mass density 10.7 g/cm3. Number 2: E_form -0.22 eV/atom, mass density 9.4 g/cm3. Number 3: E_form -0.40 eV/atom, mass density 10.8 g/cm3.